Here is a geometry-optimized CeNi2Bi structure from Alexandria via LeMat-Bulk. Energies are from GGA-PBE.

Values from the calculation:
- Symmetry: P4/mmm (123)
- Density of states at the Fermi level: 1.463 states/eV per atom
- DFT formation energy: -127 meV/atom
- E_tot: -21.88 eV per cell

```
CeNi2Bi
1.0
-0.462 2.090 -2.924
-4.355 -1.502 -0.385
-1.434 3.465 2.703
Bi Ni Ce
1 2 1
Direct
0.500 0.000 0.000 Bi
0.000 0.500 0.000 Ni
0.000 0.000 0.500 Ni
0.500 0.500 0.500 Ce
```